Entry 1:
The following is a DFT calculation (PBE) of a relaxed HgP5 crystal.

Space group: P4/mmm
Polymorph energy (0 for the lowest one): 0.256 eV/atom
Magnetization: 0.00 μB/f.u.
ΔE_f: 0.5048 eV/atom

Lattice parameters (Å, degrees): 3.152 3.152 11.311 90.00 90.00 90.00
Sites, in units of the cell vectors:
Hg1 0.500 0.500 0.000
P1 0.000 0.000 0.735
P2 0.000 0.000 0.265
P3 0.500 0.500 0.658
P4 0.500 0.500 0.342
P5 0.000 0.000 0.500

---

Entry 2:
The following is a DFT calculation (PBE) of a relaxed HgP3 crystal.

Space group: R-3m
Polymorph energy (0 for the lowest one): 0.196 eV/atom
Magnetization: 0.00 μB/f.u.
ΔE_f: 0.3052 eV/atom

Lattice parameters (Å, degrees): 9.596 9.596 9.596 19.05 19.05 19.05
Sites, in units of the cell vectors:
Hg1 0.000 0.000 0.000
P1 0.782 0.782 0.782
P2 0.500 0.500 0.500
P3 0.218 0.218 0.218

---

Entry 3:
The following is a DFT calculation (PBE) of a relaxed Hg4P crystal.

Space group: Pm-3m
Polymorph energy (0 for the lowest one): 0.000 eV/atom
Magnetization: 0.00 μB/f.u.
ΔE_f: 0.1837 eV/atom

Lattice parameters (Å, degrees): 5.400 5.400 5.400 90.00 90.00 90.00
Sites, in units of the cell vectors:
P1 0.500 0.500 0.500
Hg1 0.000 0.000 0.000
Hg2 0.500 0.000 0.500
Hg3 0.000 0.500 0.500
Hg4 0.500 0.500 0.000

---

Entry 4:
The following is a DFT calculation (PBE) of a relaxed HgP5 crystal.

Space group: Amm2
Polymorph energy (0 for the lowest one): 0.107 eV/atom
Magnetization: 0.00 μB/f.u.
ΔE_f: 0.3562 eV/atom

Lattice parameters (Å, degrees): 7.484 7.484 4.411 90.00 90.00 144.54
Sites, in units of the cell vectors:
Hg1 0.008 0.992 0.000
P1 0.779 0.221 0.500
P2 0.726 0.274 0.000
P3 0.351 0.649 0.500
P4 0.273 0.727 0.000
P5 0.197 0.803 0.500